Entry 1:
Density functional theory data (GGA-PBE) for an optimized crystal structure of ZrNb2V.

Calculated values
DFT total energy: -9.300 eV/atom
Calculated volume: 72 Å³/f.u.
Theoretical density: 7.555 g/cm3
ΔH_f (0 K): 0.61 eV/f.u.
Space group: No. 225
Crystal system: cubic

Lattice parameters (Å, degrees): 4.6715 4.6715 4.6715 60.00 60.00 60.00
Positions (direct):
Zr1 0.0000 0.0000 0.0000
Nb1 0.2500 0.2500 0.2500
Nb2 0.7500 0.7500 0.7500
V1 0.5000 0.5000 0.5000


Entry 2:
Density functional theory data (GGA-PBE) for an optimized crystal structure of Al2TlPt.

Calculated values
DFT total energy: -4.004 eV/atom
Calculated volume: 73 Å³/f.u.
Theoretical density: 10.298 g/cm3
ΔH_f (0 K): -0.12 eV/f.u.
Space group: No. 225
Crystal system: cubic

Lattice parameters (Å, degrees): 4.6935 4.6935 4.6935 60.00 60.00 60.00
Positions (direct):
Al1 0.2500 0.2500 0.2500
Al2 0.7500 0.7500 0.7500
Tl1 0.0000 0.0000 0.0000
Pt1 0.5000 0.5000 0.5000


Among the records above, which one has the highest DFT total energy?
Al2TlPt


Which value of calculated volume does entry 2 give?
73 Å³/f.u.


Which formula does entry 1 have?
ZrNb2V